This record from Alexandria describes a crystal of BeCu2Pt relaxed with PBEsol. The functional is SCAN.

Summary:
Symmetry: I4/mmm, No. 139
Crystal system: tetragonal
DFT formation energy, meV per atom: -298

a b c (Å): 3.4507 3.4507 4.6005
angles (deg): 112.03 112.03 90.00
Last column: nearest neighbours and their distance in Å.
Element x y z (fractional)
Be (0.0000, 0.0000, 0.0000)  4 Pt 2.44, 8 Cu 2.60
Cu (0.7500, 0.2500, 0.5000)  4 Cu 2.44, 4 Be 2.60, 4 Pt 2.60
Cu (0.2500, 0.7500, 0.5000)  4 Cu 2.44, 4 Be 2.60, 4 Pt 2.60
Pt (0.5000, 0.5000, 0.0000)  4 Be 2.44, 8 Cu 2.60